Tb2SmDyEr4 | GGA-PBE | relaxed

a = 5.0043 Å, b = 5.0043 Å, c = 9.9961 Å
α = 90.00°, β = 90.00°, γ = 90.00°
Atoms (fractional coordinates):
Tb1 0.0000 0.0000 0.0000
Tb2 0.5000 0.5000 0.5000
Sm1 0.0000 0.0000 0.5000
Dy1 0.5000 0.5000 0.0000
Er1 0.0000 0.5000 0.2485
Er2 0.0000 0.5000 0.7515
Er3 0.5000 0.0000 0.2485
Er4 0.5000 0.0000 0.7515

Properties
Its symmetry is P4/mmm (123).

=====

Zr2TlCuNi | GGA-PBE | relaxed

a = 4.8925 Å, b = 4.8925 Å, c = 4.4032 Å
α = 90.00°, β = 90.00°, γ = 90.00°
Atoms (fractional coordinates):
Zr1 0.0000 0.5000 0.0000
Zr2 0.5000 0.0000 0.0000
Tl1 0.0000 0.0000 0.5000
Cu1 0.5000 0.5000 0.0000
Ni1 0.5000 0.5000 0.5000

Properties
Its symmetry is P4/mmm (123).

=====

Y4InGe2 | GGA-PBE | relaxed

a = 9.3871 Å, b = 8.4868 Å, c = 7.7136 Å
α = 70.64°, β = 58.53°, γ = 50.83°
Atoms (fractional coordinates):
Y1 0.1362 0.2733 0.3229
Y2 0.2324 0.6771 0.7267
Y3 0.2733 0.1362 0.7676
Y4 0.3229 0.7676 0.1362
Y5 0.6771 0.2324 0.8638
Y6 0.7267 0.8638 0.2324
Y7 0.7676 0.3229 0.2733
Y8 0.8638 0.7267 0.6771
In1 0.3750 0.3750 0.3750
In2 0.6250 0.6250 0.6250
Ge1 0.0000 0.0000 0.0000
Ge2 0.0000 0.0000 0.5000
Ge3 0.0000 0.5000 0.0000
Ge4 0.5000 0.0000 0.0000

Properties
Its symmetry is Fddd (70).

=====

Short version: calculated volume = 250.3, 105.4, 406.3 Å³/cell, in the order given.
Short version: E_form = 0.020, 0.410, -0.519 eV per atom, in the order given.